(1)
The following is a PBE-GGA calculation of a relaxed structure of VCuAs2Br, from Alexandria.

Geometry as extended XYZ:
```
5
Lattice="4.559 0.000 0.000 0.000 4.559 0.000 0.000 0.000 5.421" Properties=species:S:1:pos:R:3 pbc="T T T"
V 0.000 0.000 0.000
Cu 2.279 2.279 2.711
As 0.000 2.279 2.711
As 2.279 0.000 2.711
Br 2.279 2.279 0.000
```

ΔE to the lowest computed polymorph (eV per formula unit): 1.34
Formation energy (no corrections) (meV per atom): 731
Symmetry: P4/mmm, No. 123

(2)
The following is a PBE-GGA calculation of a relaxed structure of MgSnBr2, from Alexandria.

Geometry as extended XYZ:
```
4
Lattice="0.000 3.785 3.785 3.785 0.000 3.785 3.785 3.785 0.000" Properties=species:S:1:pos:R:3 pbc="T T T"
Mg 0.000 0.000 0.000
Sn 3.785 3.785 3.785
Br 1.892 1.892 1.892
Br 5.677 5.677 5.677
```

ΔE to the lowest computed polymorph (eV per formula unit): 2.30
Formation energy (no corrections) (meV per atom): -264
Symmetry: Fm-3m, No. 225